1.
Compound: CePm2Ga2Cu2
Source: the Alexandria database
Functional: PBE
Structure: relaxed

a = 9.694 Å, b = 9.694 Å, c = 9.694 Å
α = 26.44°, β = 26.44°, γ = 26.44°
Positions (direct):
Ce 0.000 0.000 0.000
Pm 0.124 0.124 0.124
Pm 0.876 0.876 0.876
Ga 0.267 0.267 0.267
Ga 0.733 0.733 0.733
Cu 0.396 0.396 0.396
Cu 0.604 0.604 0.604

Values from the calculation:
Symmetry = R-3m, No. 166
Energy = -32.16 eV per cell


2.
Compound: SrHoTl
Source: the Alexandria database
Functional: PBE
Structure: relaxed

a = 7.409 Å, b = 7.409 Å, c = 7.409 Å
α = 149.56°, β = 149.56°, γ = 43.58°
Positions (direct):
Sr 0.000 0.000 0.000
Ho 0.284 0.284 0.000
Tl 0.666 0.666 0.000

Values from the calculation:
Symmetry = I4mm, No. 107
Energy above the lowest structure with this stoichiometry = 0.34 eV per formula unit


3.
Compound: CoRh2Se
Source: the Alexandria database
Functional: PBE
Structure: relaxed

a = 4.475 Å, b = 4.475 Å, c = 4.691 Å
α = 99.77°, β = 99.77°, γ = 37.96°
Positions (direct):
Co 0.000 0.000 0.000
Rh 0.254 0.254 0.759
Rh 0.746 0.746 0.241
Se 0.500 0.500 0.500

Values from the calculation:
Symmetry = C2/m, No. 12
E_form (uncorrected) = 0.14 eV/atom


4.
Compound: Ac2Ge7Pd
Source: the Alexandria database
Functional: PBE
Structure: relaxed

a = 4.626 Å, b = 4.626 Å, c = 10.683 Å
α = 90.00°, β = 90.00°, γ = 90.00°
Positions (direct):
Ac 0.000 0.500 0.241
Ac 0.500 0.000 0.759
Ge 0.000 0.000 0.000
Ge 0.000 0.000 0.500
Ge 0.000 0.500 0.627
Ge 0.000 0.500 0.878
Ge 0.500 0.000 0.122
Ge 0.500 0.000 0.373
Ge 0.500 0.500 0.500
Pd 0.500 0.500 0.000

Values from the calculation:
Symmetry = P-4m2, No. 115
Energy = -49.51 eV per cell